No. 1
{
  "formula": "CuAsCl3",
  "functional": "GGA-PBE",
  "state": "optimized geometry",
  "rho_g_cm3": 3.17,
  "dft_energy_ry_per_atom": -0.2006,
  "sg": "Pm-3m, No. 221",
  "lattice_angstrom": [[-2.1917, -3.1501, -3.2688], [-2.3157, -2.3463, 3.8138], [-3.9046, 3.1597, -0.4270]],
  "species": ["Cl", "Cl", "Cl", "Cu", "As"],
  "fractional_positions": [[0.0000, 0.0000, 0.5000], [0.0000, 0.5000, 0.0000], [0.5000, 0.0000, 0.0000], [0.5000, 0.5000, 0.5000], [0.0000, 0.0000, 0.0000]]
}

No. 2
{
  "formula": "MgZrNiAu2",
  "functional": "GGA-PBE",
  "state": "optimized geometry",
  "rho_g_cm3": 6.39,
  "dft_energy_ry_per_atom": -0.2367,
  "sg": "P4/mmm, No. 123",
  "lattice_angstrom": [[5.1642, 0.0000, 0.0000], [0.0000, 5.5360, 0.0000], [0.0000, 0.0000, 5.1642]],
  "species": ["Zr", "Au", "Au", "Ni", "Mg"],
  "fractional_positions": [[0.0000, 0.0000, 0.0000], [0.5000, 0.0000, 0.0000], [0.0000, 0.0000, 0.5000], [0.5000, 0.5000, 0.5000], [0.0000, 0.5000, 0.0000]]
}

Copy entry 1 word for word.
{
  "formula": "CuAsCl3",
  "functional": "GGA-PBE",
  "state": "optimized geometry",
  "rho_g_cm3": 3.17,
  "dft_energy_ry_per_atom": -0.2006,
  "sg": "Pm-3m, No. 221",
  "lattice_angstrom": [[-2.1917, -3.1501, -3.2688], [-2.3157, -2.3463, 3.8138], [-3.9046, 3.1597, -0.4270]],
  "species": ["Cl", "Cl", "Cl", "Cu", "As"],
  "fractional_positions": [[0.0000, 0.0000, 0.5000], [0.0000, 0.5000, 0.0000], [0.5000, 0.0000, 0.0000], [0.5000, 0.5000, 0.5000], [0.0000, 0.0000, 0.0000]]
}